## CoH2Cl6 (PBE)

Data for crystalline CoH2Cl6 at its relaxed geometry.

a b c (Å): 9.486 9.486 5.666
angles (deg): 90.14 90.14 81.00
Element x y z (fractional)
1 Co 0.074 0.926 0.750
2 Co 0.926 0.074 0.250
3 H 0.342 0.389 0.280
4 H 0.389 0.342 0.780
5 H 0.611 0.658 0.220
6 H 0.658 0.611 0.720
7 Cl 0.025 0.148 0.925
8 Cl 0.101 0.712 0.609
9 Cl 0.148 0.025 0.425
10 Cl 0.274 0.454 0.100
11 Cl 0.288 0.899 0.891
12 Cl 0.454 0.274 0.600
13 Cl 0.546 0.726 0.400
14 Cl 0.712 0.101 0.109
15 Cl 0.726 0.546 0.900
16 Cl 0.852 0.975 0.575
17 Cl 0.899 0.288 0.391
18 Cl 0.975 0.852 0.075

Output
Energy above the most stable polymorph in this dataset: 0.012 eV per atom
Magnetization: 2.09 Bohr magnetons per cell